The following is a DFT calculation (PBE-GGA) of crystalline Tb6GaSe5 at its relaxed geometry.

Unit cell a=7.1396 b=7.1499 c=7.1381 alpha=59.95 beta=80.44 gamma=70.63
With the nearest neighbours (Å) after each atom.
Fractional positions:
Tb 0.7561 0.0808 0.3245  1 Ga 2.84, 5 Se 2.91-2.97
Tb 0.2439 0.5947 0.3245  1 Ga 2.84, 5 Se 2.91-2.97
Tb 0.2440 0.2428 0.0000  1 Ga 2.84, 5 Se 2.92-2.99
Tb 0.7560 0.7572 0.0000  1 Ga 2.84, 5 Se 2.92-2.99
Tb 0.7561 0.4053 0.6755  1 Ga 2.84, 5 Se 2.91-2.97
Tb 0.2439 0.9192 0.6755  1 Ga 2.84, 5 Se 2.91-2.97
Se 0.5000 0.1695 0.6610  6 Tb 2.91-2.97
Se 0.0000 0.3337 0.3327  6 Tb 2.92
Se 0.5000 0.5000 0.0000  6 Tb 2.92-2.99
Se 0.0000 0.6663 0.6673  6 Tb 2.92
Se 0.5000 0.8305 0.3390  6 Tb 2.91-2.97
Ga 0.0000 0.0000 0.0000  6 Tb 2.84

Summary:
crystal system	monoclinic
total DFT energy (no corrections)	-5.64	eV per atom
energy relative to the elements, uncorrected	-1.62	eV/atom
symmetry	No. 12